No. 1
The following is a GGA-PBEsol calculation of crystalline TcTe2IN at its relaxed geometry, from the Alexandria database.

Unit cell a=5.0546 b=5.0546 c=5.7460 alpha=90.00 beta=90.00 gamma=90.00
Element x y z (fractional)
N1 0.5000 0.5000 0.5000
Te1 0.5000 0.0000 0.0000
Te2 0.0000 0.5000 0.0000
Tc1 0.0000 0.0000 0.0000
I1 0.0000 0.0000 0.5000

## Properties
Space-group type: No. 123


No. 2
The following is a GGA-PBEsol calculation of crystalline TiTcI2N at its relaxed geometry, from the Alexandria database.

Unit cell a=3.6922 b=5.4336 c=5.4336 alpha=90.00 beta=90.00 gamma=90.00
Element x y z (fractional)
Tc1 0.0000 0.0000 0.0000
Ti1 0.5000 0.5000 0.5000
I1 0.0000 0.0000 0.5000
I2 0.0000 0.5000 0.0000
N1 0.5000 0.0000 0.0000

## Properties
Space-group type: No. 123


No. 3
The following is a GGA-PBEsol calculation of crystalline TiTcIN2 at its relaxed geometry, from the Alexandria database.

Unit cell a=3.9032 b=3.9032 c=5.6139 alpha=90.00 beta=90.00 gamma=90.00
Element x y z (fractional)
I1 0.0000 0.0000 0.5000
Ti1 0.0000 0.0000 0.0000
Tc1 0.5000 0.5000 0.5000
N1 0.0000 0.5000 0.0000
N2 0.5000 0.0000 0.0000

## Properties
Space-group type: No. 123


We obtain formation energy without anion corrections values of 1402, 438, 939 meV per atom for the records listed above, in that order.